# Mg4Hg

A relaxed structure of Mg4Hg (GGA-PBE, Alexandria).

The structure in extended XYZ format:
```
5
Lattice="6.9597 0.0000 0.0000 0.0000 6.9597 0.0000 3.4799 3.4799 2.2708" Properties=species:S:1:pos:R:3 pbc="T T T"
Mg 2.7491 5.5792 0.0000
Mg 4.2106 1.3805 0.0000
Mg 5.5792 4.2106 0.0000
Mg 1.3805 2.7491 0.0000
Hg 0.0000 0.0000 0.0000
```

Spin magnetization = 0.00 μB/atom
Fermi-level density of states = 2.17 states/eV per cell
Energy relative to the elements = -0.097 eV per atom
ρ = 4.50 Mg/m³
Relative energy among the computed polymorphs = 0 meV per atom